The following is a DFT calculation (GGA-PBE) of NaCuGeS3 after structural relaxation.

Results
Relative energy among the computed polymorphs ... 52 meV/atom

Cell lengths 3.5206, 12.7971, 9.9653 Å; angles 90.00, 90.00, 90.00 degrees
Closest atoms and distances in Å follow each position.
Space group Cmcm (No. 63)
Asymmetric unit:
Na (0.0000, 0.2331, 0.2500) (multiplicity 4)  4 S 2.88-3.17, 2 Cu 3.12
Cu (0.0000, 0.0655, 0.7500) (multiplicity 4)  4 S 2.26-2.34
Ge (0.0000, 0.5000, 0.0000) (multiplicity 4)  6 S 2.47-2.59
S (0.0000, 0.1322, 0.5401) (multiplicity 8)  1 Cu 2.26, 2 Ge 2.47
S (0.0000, 0.4453, 0.7500) (multiplicity 4)  2 Cu 2.34, 2 Ge 2.59

=====

The following is a DFT calculation (GGA-PBE) of KEr2 after structural relaxation.

Results
Relative energy among the computed polymorphs ... 2049 meV/atom
Total magnetic moment ... 24.0 Bohr magnetons per cell

Cell lengths 16.8257, 16.8257, 16.8257 Å; angles 90.00, 90.00, 90.00 degrees
Closest atoms and distances in Å follow each position.
Space group Fd-3m (No. 227, origin choice 2)
Asymmetric unit:
K (0.1250, 0.1250, 0.1250) (multiplicity 8)  4 Er 3.64
Er (0.0000, 0.0000, 0.0000) (multiplicity 16)  2 K 3.64

=====

The following is a DFT calculation (GGA-PBE) of HfReNiGe after structural relaxation.

Results
Total magnetic moment ... 0.3 Bohr magnetons per cell
DFT total energy ... -7.885 eV/atom

Cell lengths 6.3200, 6.3200, 6.3200 Å; angles 90.00, 90.00, 90.00 degrees
Closest atoms and distances in Å follow each position.
Space group F-43m (No. 216)
Asymmetric unit:
Hf (0.0000, 0.0000, 0.0000) (multiplicity 4)  4 Re 2.74, 4 Ge 2.74
Re (0.2500, 0.2500, 0.7500) (multiplicity 4)  4 Hf 2.74, 4 Ni 2.74
Ni (0.0000, 0.0000, 0.5000) (multiplicity 4)  4 Ge 2.74, 4 Re 2.74
Ge (0.2500, 0.2500, 0.2500) (multiplicity 4)  4 Hf 2.74, 4 Ni 2.74